## P
First-principles (PBE) data for a relaxed YBeSCl2 crystal, as listed in Alexandria.

Properties
The value obtained for the magnetization is 0.32 μB/f.u. The value obtained for the theoretical density is 3.6 g/cm3. Its space group is P4/mmm (123).

Cell: 4.346 4.346 4.839 Å, 90.00 90.00 90.00°
Positions (direct):
Y (0.000, 0.000, 0.000)
Be (0.500, 0.500, 0.500)
S (0.500, 0.500, 0.000)
Cl (0.000, 0.500, 0.500)
Cl (0.500, 0.000, 0.500)

=====

## Q
First-principles (PBE) data for a relaxed YBeSCl2 crystal, as listed in Alexandria.

Properties
The value obtained for the magnetization is 0.80 μB/f.u. The value obtained for the theoretical density is 2.3 g/cm3. Its space group is P4/mmm (123).

Cell: 5.230 5.230 5.356 Å, 90.00 90.00 90.00°
Positions (direct):
Y (0.000, 0.000, 0.000)
Be (0.500, 0.500, 0.500)
S (0.000, 0.000, 0.500)
Cl (0.000, 0.500, 0.000)
Cl (0.500, 0.000, 0.000)

=====

The structures above, arranged from the most stable to the least stable: P, Q.